The following is a GGA-PBE calculation of a relaxed LiGdHg crystal, from the Alexandria database.

Results
Energy above the most stable polymorph in this dataset: 0.00 eV per formula unit
Energy relative to the elements: -0.3128 eV per atom
Symmetry: No. 187

POSCAR file:
```
LiGdHg
1.0
4.8621 0.0000 0.0000
-2.4310 4.2107 0.0000
0.0000 0.0000 3.3889
Li Gd Hg
1 1 1
Cartesian
0.0000 0.0000 0.0000
2.4310 1.4036 1.6945
0.0000 2.8071 0.0000
```


The following is a GGA-PBE calculation of a relaxed MnAlCl2 crystal, from the Alexandria database.

Results
Energy above the most stable polymorph in this dataset: 2.65 eV per formula unit
E_form (uncorrected): 0.029 eV/atom
Symmetry: No. 225

POSCAR file:
```
MnAlCl2
1.0
0.0000 3.4479 3.4479
3.4479 0.0000 3.4479
3.4479 3.4479 0.0000
Mn Al Cl
1 1 2
Cartesian
0.0000 0.0000 0.0000
3.4479 3.4479 3.4479
1.7239 1.7239 1.7239
5.1718 5.1718 5.1718
```


The following is a GGA-PBE calculation of a relaxed Dy12Ag6Rh crystal, from the Alexandria database.

Results
Energy relative to the elements: -0.0794 eV per atom
Symmetry: No. 148

POSCAR file:
```
Dy12Ag6Rh
1.0
6.2696 3.6198 4.0428
-6.2696 3.6198 4.0428
0.0000 -7.2396 4.0428
Dy Ag Rh
12 6 1
Cartesian
-2.0126 0.6816 1.6006
0.4160 -2.0838 1.6006
-1.3901 -1.7598 4.7135
1.5966 1.4022 1.6007
-0.8289 2.0837 4.7135
-2.2190 0.3240 7.4148
2.2190 -0.3240 4.7135
0.8289 -2.0837 7.4148
-1.5966 -1.4022 10.5276
1.3901 1.7598 7.4148
-0.4160 2.0838 10.5276
2.0126 -0.6816 10.5276
-3.3416 0.5150 4.4435
1.2248 -3.1514 4.4435
-2.1168 -2.6364 7.6848
2.1168 2.6364 4.4435
-1.2248 3.1514 7.6848
3.3416 -0.5150 7.6848
0.0000 0.0000 0.0000
```


The following is a GGA-PBE calculation of a relaxed Ac3GaO crystal, from the Alexandria database.

Results
Energy above the most stable polymorph in this dataset: 0.12 eV per formula unit
E_form (uncorrected): -1.156 eV/atom
Symmetry: No. 65

POSCAR file:
```
Ac3GaO
1.0
5.1776 -7.0962 0.0000
5.1776 7.0962 0.0000
0.0000 0.0000 4.0427
Ac Ga O
6 2 2
Cartesian
5.1776 4.5108 0.0000
3.2401 1.8469 2.0214
3.2401 -1.8469 2.0214
7.1150 1.8469 2.0214
7.1150 -1.8469 2.0214
5.1776 -4.5108 0.0000
0.0000 0.0000 2.0214
5.1776 0.0000 0.0000
2.5888 3.5481 0.0000
2.5888 -3.5481 0.0000
```


The following is a GGA-PBE calculation of a relaxed Ac3MgTl3 crystal, from the Alexandria database.

Results
Energy above the most stable polymorph in this dataset: 1.82 eV per formula unit
Energy relative to the elements: -0.0669 eV per atom
Symmetry: No. 176

POSCAR file:
```
Ac3MgTl3
1.0
10.0183 0.0000 0.0000
-5.0091 8.6761 0.0000
0.0000 0.0000 6.0771
Ac Mg Tl
6 2 6
Cartesian
-3.6606 6.5159 1.5193
1.1965 2.2480 1.5193
2.5451 0.0878 4.5578
2.4641 8.5883 1.5193
3.8126 6.4281 4.5578
8.6697 2.1602 4.5578
0.0000 5.7841 4.5578
5.0091 2.8920 1.5193
-2.0334 3.5447 1.5193
-0.9227 8.6647 1.5193
2.0531 3.5333 4.5578
2.9560 5.1428 1.5193
5.9318 0.0114 4.5578
7.0425 5.1314 4.5578
```


The following is a GGA-PBE calculation of a relaxed Fe2CoPt crystal, from the Alexandria database.

Results
Energy relative to the elements: -0.0813 eV per atom
Symmetry: No. 12

POSCAR file:
```
Fe2CoPt
1.0
2.6337 -3.6773 0.0000
2.6337 3.6773 0.0000
-0.0080 0.0000 2.6467
Fe Co Pt
2 1 1
Cartesian
1.3168 1.8387 0.0000
1.3168 -1.8387 0.0000
-0.0040 0.0000 1.3234
2.6297 0.0000 1.3234
```


The following is a GGA-PBE calculation of a relaxed Pm5Nd6In crystal, from the Alexandria database.

Results
Energy relative to the elements: -0.0612 eV per atom
Symmetry: No. 71

POSCAR file:
```
Pm5Nd6In
1.0
-2.5389 5.1241 7.7369
2.5389 -5.1241 7.7369
2.5389 5.1241 -7.7369
Pm Nd In
5 6 1
Cartesian
0.0000 0.0000 0.0000
2.5389 0.0000 2.5325
0.0000 0.0000 5.1489
0.0000 0.0000 10.3248
0.0000 5.1241 5.2044
2.5389 -2.4994 5.2035
2.5389 2.6345 0.0000
0.0000 2.6247 2.5334
2.5389 2.4994 5.2035
0.0000 2.4896 7.7369
0.0000 7.6235 2.5334
0.0000 5.1241 0.0000
```


The following is a GGA-PBE calculation of a relaxed TbPm6Pr2Sm crystal, from the Alexandria database.

Results
Energy relative to the elements: 0.1141 eV per atom
Symmetry: No. 15

POSCAR file:
```
TbPm6Pr2Sm
1.0
4.6088 -7.6795 0.0000
4.6088 7.6795 0.0000
-1.5478 0.0000 9.8187
Tb Pm Pr Sm
2 12 4 2
Cartesian
3.4479 6.2532 7.3640
4.2218 -6.2532 2.4547
3.0889 6.0768 3.7306
2.4402 3.4073 1.8506
5.3548 6.0768 1.1788
3.1351 2.8837 5.4578
3.7608 2.8837 9.2703
6.0035 3.4073 3.0587
1.6663 -3.4073 6.7600
3.9090 -2.8837 0.5484
4.5347 -2.8837 4.3609
2.3150 -6.0768 8.6399
5.2296 -3.4073 7.9681
4.5809 -6.0768 6.0882
0.8785 0.7738 9.4089
1.6524 -0.7738 4.4995
6.0174 0.7738 5.3192
6.7913 -0.7738 0.4098
4.2218 0.2679 2.4547
3.4479 -0.2679 7.3640
```


The following is a GGA-PBE calculation of a relaxed La4CeHo3S8 crystal, from the Alexandria database.

Results
E_form (uncorrected): -2.082 eV/atom
Symmetry: No. 166

POSCAR file:
```
La4CeHo3S8
1.0
4.0178 2.3197 6.6500
-4.0178 2.3197 6.6500
0.0000 -4.6393 6.6500
La Ce Ho S
4 1 3 8
Cartesian
0.0000 0.0000 0.0000
-2.0089 -1.1598 6.6500
-2.0089 1.1598 13.3000
0.0000 2.3196 6.6500
0.0000 0.0000 9.9750
-4.0178 0.0000 9.9750
-2.0089 1.1598 3.3250
2.0089 1.1598 3.3250
-2.0425 -1.1792 11.5136
0.0000 0.0000 4.8388
0.0000 -2.3585 8.4364
-2.0425 1.1792 8.4364
2.0425 -1.1793 11.5136
0.0000 2.3585 11.5136
0.0000 0.0000 15.1112
2.0425 1.1792 8.4364
```


Which formula does entry 6 have?
Fe2CoPt